*a*
RbScTe2N after structural relaxation, computed with PBE-GGA.

Unit cell a=6.158 b=6.158 c=3.983 alpha=90.00 beta=90.00 gamma=90.00
Last column: magnetic moment on the atom in μB.
Element x y z (fractional)
N1 0.000 0.000 0.500  0.58
Rb1 0.500 0.500 0.500  0.00
Sc1 0.000 0.000 0.000  0.02
Te1 0.500 0.000 0.000  0.05
Te2 0.000 0.500 0.000  0.05

## Properties
Space group   No. 123
Density of states at the Fermi level   4.505 states/eV/f.u.



*b*
RbScTe2N after structural relaxation, computed with PBE-GGA.

Unit cell a=6.090 b=6.090 c=4.433 alpha=90.00 beta=90.00 gamma=90.00
Last column: magnetic moment on the atom in μB.
Element x y z (fractional)
Te1 0.000 0.500 0.000  0.15
Te2 0.500 0.000 0.000  0.15
Sc1 0.500 0.500 0.500  -0.26
N1 0.000 0.000 0.500  1.02
Rb1 0.000 0.000 0.000  0.05

## Properties
Space group   No. 123
Density of states at the Fermi level   3.822 states/eV/f.u.



What should be chosen as the most stable of them? Choose *a*.



*a*
RbScTeN2 after structural relaxation, computed with PBE-GGA.

Unit cell a=4.646 b=4.646 c=5.716 alpha=90.00 beta=90.00 gamma=90.00
Last column: magnetic moment on the atom in μB.
Element x y z (fractional)
Sc1 0.000 0.000 0.000  -0.06
N1 0.500 0.000 0.000  1.09
N2 0.000 0.500 0.000  1.09
Rb1 0.500 0.500 0.500  0.02
Te1 0.000 0.000 0.500  0.31

## Properties
Space group   No. 123
Density of states at the Fermi level   3.087 states/eV/f.u.



*b*
RbScTeN2 after structural relaxation, computed with PBE-GGA.

Unit cell a=4.833 b=4.833 c=6.822 alpha=90.00 beta=90.00 gamma=90.00
Last column: magnetic moment on the atom in μB.
Element x y z (fractional)
Sc1 0.500 0.500 0.500  -0.65
Rb1 0.000 0.000 0.000  0.19
N1 0.500 0.000 0.000  1.56
N2 0.000 0.500 0.000  1.56
Te1 0.000 0.000 0.500  0.10

## Properties
Space group   No. 123
Density of states at the Fermi level   3.165 states/eV/f.u.



What should be chosen as the most stable of them? Choose *a*.



*a*
RbSe2N2 after structural relaxation, computed with PBE-GGA.

Unit cell a=6.852 b=6.852 c=6.179 alpha=90.00 beta=90.00 gamma=90.00
Last column: magnetic moment on the atom in μB.
Element x y z (fractional)
N1 0.000 0.000 0.500  1.86
N2 0.500 0.500 0.500  1.93
Rb1 0.000 0.000 0.000  0.01
Se1 0.000 0.500 0.000  0.88
Se2 0.500 0.000 0.000  0.88

## Properties
Space group   No. 123
Density of states at the Fermi level   7.425 states/eV/f.u.



*b*
RbSe2N2 after structural relaxation, computed with PBE-GGA.

Unit cell a=4.240 b=4.240 c=6.308 alpha=90.00 beta=90.00 gamma=90.00
Last column: magnetic moment on the atom in μB.
Element x y z (fractional)
N1 0.000 0.000 0.500  1.56
N2 0.000 0.000 0.000  -0.12
Se1 0.000 0.500 0.000  -0.01
Se2 0.500 0.000 0.000  -0.01
Rb1 0.500 0.500 0.500  0.02

## Properties
Space group   No. 123
Density of states at the Fermi level   2.988 states/eV/f.u.



*c*
RbSe2N2 after structural relaxation, computed with PBE-GGA.

Unit cell a=4.441 b=4.441 c=5.188 alpha=90.00 beta=90.00 gamma=90.00
Last column: magnetic moment on the atom in μB.
Element x y z (fractional)
Se1 0.000 0.000 0.000  -0.10
Se2 0.000 0.000 0.500  0.18
N1 0.500 0.000 0.000  0.98
N2 0.000 0.500 0.000  0.98
Rb1 0.500 0.500 0.500  0.01

## Properties
Space group   No. 123
Density of states at the Fermi level   2.510 states/eV/f.u.



What should be chosen as the most stable of them? Choose *c*.



*a*
RbSe2N2 after structural relaxation, computed with PBE-GGA.

Unit cell a=4.955 b=4.955 c=7.107 alpha=90.00 beta=90.00 gamma=90.00
Last column: magnetic moment on the atom in μB.
Element x y z (fractional)
Rb1 0.000 0.000 0.000  0.16
Se1 0.000 0.000 0.500  0.14
Se2 0.500 0.500 0.500  0.39
N1 0.000 0.500 0.000  0.80
N2 0.500 0.000 0.000  0.80

## Properties
Space group   No. 123
Density of states at the Fermi level   4.750 states/eV/f.u.



*b*
RbSe2N2 after structural relaxation, computed with PBE-GGA.

Unit cell a=4.598 b=13.912 c=17.698 alpha=166.81 beta=122.04 gamma=47.82
Element x y z (fractional)
Se1 0.762 0.421 0.054
Se2 0.238 0.579 0.946
Rb1 0.000 0.000 0.000
N1 0.122 0.375 0.683
N2 0.878 0.625 0.317

## Properties
Space group   No. 2
Density of states at the Fermi level   1.771 states/eV/f.u.



What should be chosen as the most stable of them? Choose *b*.